(1)
Compound: KNa3Sn
Source: the Alexandria database
Functional: PBE
Structure: relaxed

abc: 10.2263 10.2263 7.9075
angles: 101.09 101.09 73.59
Element x y z (fractional)
K: 0.0509 0.9491 0.7500
K: 0.3701 0.6299 0.2500
K: 0.6299 0.3701 0.7500
K: 0.9491 0.0509 0.2500
Na: 0.0009 0.3429 0.0709
Na: 0.0210 0.3576 0.6030
Na: 0.3179 0.3195 0.9035
Na: 0.3195 0.3179 0.4035
Na: 0.3429 0.0009 0.5709
Na: 0.3576 0.0210 0.1030
Na: 0.6424 0.9790 0.8970
Na: 0.6571 0.9991 0.4291
Na: 0.6805 0.6821 0.5965
Na: 0.6821 0.6805 0.0965
Na: 0.9790 0.6424 0.3970
Na: 0.9991 0.6571 0.9291
Sn: 0.2415 0.5777 0.6936
Sn: 0.4223 0.7585 0.8064
Sn: 0.5777 0.2415 0.1936
Sn: 0.7585 0.4223 0.3064

- VASP energy (eV per atom) = -1.89
- ΔH_f (0 K) (eV/atom) = -0.076
- ρ (g/cm³) = 1.956
- D(E_F) (states/eV/f.u.) = 2.646

(2)
Compound: FeAgBi2
Source: the Alexandria database
Functional: PBE
Structure: relaxed

abc: 6.4075 6.4075 11.5376
angles: 90.00 90.00 90.00
Element x y z (fractional)
Fe: 0.0000 0.0000 0.0000
Fe: 0.0000 0.5000 0.2500
Fe: 0.5000 0.0000 0.7500
Fe: 0.5000 0.5000 0.5000
Ag: 0.0000 0.0000 0.5000
Ag: 0.0000 0.5000 0.7500
Ag: 0.5000 0.0000 0.2500
Ag: 0.5000 0.5000 0.0000
Bi: 0.1989 0.2500 0.1250
Bi: 0.2500 0.6989 0.3750
Bi: 0.2500 0.8011 0.8750
Bi: 0.3011 0.2500 0.6250
Bi: 0.6989 0.7500 0.6250
Bi: 0.7500 0.1989 0.8750
Bi: 0.7500 0.3011 0.3750
Bi: 0.8011 0.7500 0.1250

- VASP energy (eV per atom) = -4.10
- ΔH_f (0 K) (eV/atom) = 0.671
- ρ (g/cm³) = 8.156
- D(E_F) (states/eV/f.u.) = 3.343

(3)
Compound: BaMgCr2
Source: the Alexandria database
Functional: PBE
Structure: relaxed

abc: 3.9411 4.8948 11.7975
angles: 90.00 90.00 90.00
Element x y z (fractional)
Ba: 0.0000 0.0000 0.0000
Ba: 0.5000 0.5000 0.5000
Mg: 0.0000 0.5000 0.2380
Mg: 0.5000 0.0000 0.7380
Cr: 0.0000 0.0000 0.3643
Cr: 0.0000 0.5000 0.7512
Cr: 0.5000 0.0000 0.2512
Cr: 0.5000 0.5000 0.8643

- VASP energy (eV per atom) = -5.05
- ΔH_f (0 K) (eV/atom) = 0.645
- ρ (g/cm³) = 3.876
- D(E_F) (states/eV/f.u.) = 2.682